Compound: Tc2PbBr
Source: the Alexandria database
Functional: PBE
Structure: relaxed

Summary:
Offset from the most stable computed form ... 0.00 eV per formula unit
Total DFT energy (no corrections) ... -6.228 eV/atom

Lattice parameters (Å, degrees): 3.069 3.069 9.065 90.00 90.00 90.00
Sites, in units of the cell vectors:
Tc1 0.000 0.000 0.000
Tc2 0.500 0.500 0.159
Pb1 0.500 0.500 0.751
Br1 0.000 0.000 0.367